[1]
Material: SiIrI2N
Method: DFT, PBE
State: relaxed

```
SiIrI2N
1.0
5.4998 0.0000 0.0000
0.0000 5.4998 0.0000
0.0000 0.0000 3.2685
Ir I N Si
1 2 1 1
Direct
0.5000 0.5000 0.5000 Ir
0.5000 0.0000 0.0000 I
0.0000 0.5000 0.0000 I
0.0000 0.0000 0.5000 N
0.0000 0.0000 0.0000 Si
```

Properties
Space-group type: P4/mmm, No. 123
Total energy, eV/f.u.: -21.3
Density, kg/m³: 8199
ΔE_f (raw), meV/atom: 890
DOS(E_F), states/eV per cell: 3.40

[2]
Material: Zr3Ge5S12
Method: DFT, PBE
State: relaxed

```
Zr3Ge5S12
1.0
-1.4467 -6.9101 -10.9384
4.1654 -7.8093 9.5475
-11.4303 5.2477 3.3617
S Ge Zr
48 20 12
Direct
0.4097 0.3619 0.5846 S
0.0477 0.6381 0.7227 S
0.4154 0.1381 0.5903 S
0.0846 0.1750 0.2227 S
0.1381 0.4154 0.0903 S
0.6381 0.0477 0.2227 S
0.4523 0.7773 0.8619 S
0.5903 0.9523 0.6750 S
0.3619 0.4097 0.0846 S
0.3250 0.5477 0.4097 S
0.1750 0.0903 0.9523 S
0.2773 0.8619 0.9523 S
0.7227 0.1381 0.0477 S
0.3250 0.7773 0.4154 S
0.9154 0.0903 0.6381 S
0.9523 0.5903 0.1750 S
0.2773 0.4154 0.8250 S
0.9097 0.0846 0.8619 S
0.4523 0.6750 0.0903 S
0.3619 0.9523 0.7773 S
0.9523 0.3619 0.2773 S
0.5846 0.8619 0.4097 S
0.5903 0.6381 0.4154 S
0.8250 0.9154 0.2773 S
0.1750 0.0846 0.7227 S
0.5477 0.3250 0.9097 S
0.1381 0.7227 0.5477 S
0.2227 0.5477 0.6381 S
0.8250 0.9097 0.0477 S
0.2227 0.6750 0.0846 S
0.0903 0.9154 0.1381 S
0.9154 0.8250 0.7773 S
0.4154 0.2773 0.3250 S
0.7773 0.4523 0.3619 S
0.8619 0.2773 0.4523 S
0.9097 0.8250 0.5477 S
0.4097 0.0477 0.3250 S
0.6750 0.2227 0.5846 S
0.7773 0.3250 0.9154 S
0.5846 0.7227 0.6750 S
0.8619 0.5846 0.9097 S
0.0477 0.4097 0.8250 S
0.0846 0.9097 0.3619 S
0.6750 0.4523 0.5903 S
0.0903 0.1750 0.4523 S
0.6381 0.5903 0.9154 S
0.7227 0.5846 0.1750 S
0.5477 0.2227 0.1381 S
0.1250 0.7500 0.3750 Ge
0.5000 0.0000 0.5000 Ge
0.6250 0.8750 0.2500 Ge
0.3750 0.2500 0.1250 Ge
0.8750 0.6250 0.7500 Ge
0.8750 0.2500 0.6250 Ge
0.0000 0.0000 0.5000 Ge
0.5000 0.0000 0.0000 Ge
0.1250 0.3750 0.2500 Ge
0.3750 0.1250 0.7500 Ge
0.5000 0.5000 0.0000 Ge
0.6250 0.7500 0.8750 Ge
0.7500 0.6250 0.3750 Ge
0.0000 0.0000 0.0000 Ge
0.2500 0.8750 0.1250 Ge
0.0000 0.5000 0.0000 Ge
0.2500 0.3750 0.6250 Ge
0.7500 0.1250 0.8750 Ge
0.0000 0.5000 0.5000 Ge
0.5000 0.5000 0.5000 Ge
0.8750 0.7500 0.1250 Zr
0.2500 0.1250 0.3750 Zr
0.1250 0.8750 0.7500 Zr
0.3750 0.6250 0.2500 Zr
0.6250 0.3750 0.7500 Zr
0.6250 0.2500 0.3750 Zr
0.1250 0.2500 0.8750 Zr
0.3750 0.7500 0.6250 Zr
0.8750 0.1250 0.2500 Zr
0.7500 0.3750 0.1250 Zr
0.7500 0.8750 0.6250 Zr
0.2500 0.6250 0.8750 Zr
```

Properties
Space-group type: Ia-3d, No. 230
Total energy, eV/f.u.: -110.3
Density, kg/m³: 3995
ΔE_f (raw), meV/atom: -604
DOS(E_F), states/eV per cell: 34.10

Among the records above, which one has the highest density? SiIrI2N